The following is a PBE-GGA calculation of an optimized crystal structure of Pm3FeAs, from Alexandria.

abc: 5.116 5.116 5.116
angles: 90.00 90.00 90.00
Fractional coordinates of all 5 atoms:
Pm 0.000 0.000 0.500
Pm 0.000 0.500 0.000
Pm 0.500 0.000 0.000
Fe 0.000 0.000 0.000
As 0.500 0.500 0.500

Summary:
* formation energy from the elements: -0.149 eV/atom
* final energy: -5.622 eV per atom

The following is a PBE-GGA calculation of an optimized crystal structure of PmFeAs2, from Alexandria.

abc: 4.813 4.813 4.813
angles: 60.00 60.00 60.00
Fractional coordinates of all 4 atoms:
Pm 0.000 0.000 0.000
Fe 0.500 0.500 0.500
As 0.250 0.250 0.250
As 0.750 0.750 0.750

Summary:
* formation energy from the elements: -0.261 eV/atom
* final energy: -5.889 eV per atom

The following is a PBE-GGA calculation of an optimized crystal structure of Pm2FeAs4Rh3, from Alexandria.

abc: 4.286 4.286 9.900
angles: 90.00 90.00 90.00
Fractional coordinates of all 10 atoms:
Pm 0.000 0.500 0.247
Pm 0.500 0.000 0.753
Fe 0.000 0.000 0.500
As 0.000 0.000 0.000
As 0.000 0.500 0.628
As 0.500 0.000 0.372
As 0.500 0.500 0.000
Rh 0.000 0.500 0.876
Rh 0.500 0.000 0.124
Rh 0.500 0.500 0.500

Summary:
* formation energy from the elements: -0.823 eV/atom
* final energy: -6.684 eV per atom

The following is a PBE-GGA calculation of an optimized crystal structure of Pr6Fe13As, from Alexandria.

abc: 12.891 12.891 12.891
angles: 143.68 143.68 52.31
Fractional coordinates of all 40 atoms:
Pr 0.024 0.524 0.171
Pr 0.108 0.108 0.000
Pr 0.147 0.976 0.500
Pr 0.353 0.853 0.829
Pr 0.392 0.392 0.000
Pr 0.476 0.647 0.500
Pr 0.524 0.353 0.500
Pr 0.608 0.608 0.000
Pr 0.647 0.147 0.171
Pr 0.853 0.024 0.500
Pr 0.892 0.892 0.000
Pr 0.976 0.476 0.829
Fe 0.000 0.500 0.500
Fe 0.019 0.292 0.500
Fe 0.067 0.209 0.276
Fe 0.119 0.619 0.857
Fe 0.208 0.481 0.500
Fe 0.209 0.933 0.142
Fe 0.238 0.738 0.857
Fe 0.262 0.119 0.500
Fe 0.291 0.433 0.724
Fe 0.292 0.792 0.273
Fe 0.381 0.238 0.500
Fe 0.433 0.709 0.142
Fe 0.481 0.981 0.273
Fe 0.500 0.000 0.500
Fe 0.519 0.019 0.727
Fe 0.567 0.291 0.858
Fe 0.619 0.762 0.500
Fe 0.708 0.208 0.727
Fe 0.709 0.567 0.276
Fe 0.738 0.881 0.500
Fe 0.762 0.262 0.143
Fe 0.791 0.067 0.858
Fe 0.792 0.519 0.500
Fe 0.881 0.381 0.143
Fe 0.933 0.791 0.724
Fe 0.981 0.708 0.500
As 0.250 0.250 0.000
As 0.750 0.750 0.000

Summary:
* formation energy from the elements: -0.121 eV/atom
* final energy: -7.288 eV per atom

The following is a PBE-GGA calculation of an optimized crystal structure of Pr2FeAs4Pt3, from Alexandria.

abc: 4.405 4.405 10.018
angles: 90.00 90.00 90.00
Fractional coordinates of all 10 atoms:
Pr 0.000 0.500 0.249
Pr 0.500 0.000 0.751
Fe 0.500 0.500 0.000
As 0.000 0.000 0.500
As 0.000 0.500 0.875
As 0.500 0.000 0.125
As 0.500 0.500 0.500
Pt 0.000 0.000 0.000
Pt 0.000 0.500 0.625
Pt 0.500 0.000 0.375

Summary:
* formation energy from the elements: -0.805 eV/atom
* final energy: -6.279 eV per atom

The following is a PBE-GGA calculation of an optimized crystal structure of Pr2FeAs4Rh3, from Alexandria.

abc: 4.320 4.320 9.911
angles: 90.00 90.00 90.00
Fractional coordinates of all 10 atoms:
Pr 0.000 0.500 0.247
Pr 0.500 0.000 0.753
Fe 0.000 0.000 0.500
As 0.000 0.000 0.000
As 0.000 0.500 0.628
As 0.500 0.000 0.372
As 0.500 0.500 0.000
Rh 0.000 0.500 0.878
Rh 0.500 0.000 0.122
Rh 0.500 0.500 0.500

Summary:
* formation energy from the elements: -0.830 eV/atom
* final energy: -6.698 eV per atom

The following is a PBE-GGA calculation of an optimized crystal structure of FeAsPt2, from Alexandria.

abc: 7.186 7.186 7.186
angles: 138.35 138.35 60.36
Fractional coordinates of all 8 atoms:
Fe 0.000 0.000 0.000
Fe 0.750 0.250 0.500
As 0.250 0.750 0.500
As 0.500 0.500 0.000
Pt 0.109 0.625 0.984
Pt 0.375 0.359 0.484
Pt 0.641 0.125 0.016
Pt 0.875 0.891 0.516

Summary:
* formation energy from the elements: 0.479 eV/atom
* final energy: -5.820 eV per atom

The following is a PBE-GGA calculation of an optimized crystal structure of FeAsPt2, from Alexandria.

abc: 2.820 3.918 5.708
angles: 90.00 104.25 90.00
Fractional coordinates of all 4 atoms:
Fe 0.000 0.000 0.000
As 0.391 0.500 0.783
Pt 0.257 0.000 0.507
Pt 0.615 0.500 0.229

Summary:
* formation energy from the elements: -0.100 eV/atom
* final energy: -6.399 eV per atom

The following is a PBE-GGA calculation of an optimized crystal structure of FeAsPt3, from Alexandria.

abc: 4.605 4.605 4.605
angles: 90.00 90.00 90.00
Fractional coordinates of all 5 atoms:
Fe 0.000 0.000 0.000
As 0.500 0.500 0.500
Pt 0.000 0.000 0.500
Pt 0.000 0.500 0.000
Pt 0.500 0.000 0.000

Summary:
* formation energy from the elements: 0.920 eV/atom
* final energy: -5.327 eV per atom

The following is a PBE-GGA calculation of an optimized crystal structure of FeAsPt2, from Alexandria.

abc: 4.429 4.429 4.429
angles: 60.00 60.00 60.00
Fractional coordinates of all 4 atoms:
Fe 0.000 0.000 0.000
As 0.250 0.250 0.250
Pt 0.500 0.500 0.500
Pt 0.750 0.750 0.750

Summary:
* formation energy from the elements: 0.012 eV/atom
* final energy: -6.286 eV per atom

The following is a PBE-GGA calculation of an optimized crystal structure of FeAsPt2, from Alexandria.

abc: 4.721 2.882 4.750
angles: 90.00 109.22 90.00
Fractional coordinates of all 4 atoms:
Fe 0.000 0.000 0.000
As 0.000 0.500 0.500
Pt 0.500 0.000 0.500
Pt 0.500 0.500 0.000

Summary:
* formation energy from the elements: -0.002 eV/atom
* final energy: -6.300 eV per atom

The following is a PBE-GGA calculation of an optimized crystal structure of FeAsPt2, from Alexandria.

abc: 2.888 2.888 7.408
angles: 90.00 90.00 90.00
Fractional coordinates of all 4 atoms:
Fe 0.000 0.000 0.000
As 0.000 0.000 0.500
Pt 0.500 0.500 0.232
Pt 0.500 0.500 0.768

Summary:
* formation energy from the elements: -0.075 eV/atom
* final energy: -6.374 eV per atom

What is the formation energy from the elements in the first record?
-0.149 eV/atom

Which value of final energy does entry 10 give?
-6.286 eV per atom